Density functional theory data (PBE-GGA) for Na2ZnNiN after structural relaxation.

Values from the calculation:
Total energy: -3.57 eV/atom
Size of the total moment: 0.043 μB per atom

Structure (CIF):
```
data_Na2ZnNiN
_chemical_formula_sum 'Na2 Zn1 Ni1 N1'
_space_group_name_H-M_alt 'P 4/m m m'
_space_group_IT_number 123
_space_group_name_Hall '-P 4 2'
_cell_length_a 5.038
_cell_length_b 5.038
_cell_length_c 3.484
_cell_angle_alpha 90.00
_cell_angle_beta 90.00
_cell_angle_gamma 90.00
loop_
_atom_site_label
_atom_site_fract_x
_atom_site_fract_y
_atom_site_fract_z
Na1 0.000 0.500 0.000
Zn1 0.000 0.000 0.500
Ni1 0.500 0.500 0.500
N1 0.500 0.500 0.000
```